Entry 1:
First-principles (GGA-PBE) data for a relaxed structure of LaNb2Mo, as listed in Alexandria. Values from VASP.

Quantum ESPRESSO input file:
```
&SYSTEM
  ibrav = 0, nat = 4, ntyp = 3
/
ATOMIC_SPECIES
Mo 95.94 Mo.upf
La 138.91 La.upf
Nb 92.91 Nb.upf
ATOMIC_POSITIONS crystal
Mo 0.000 0.000 0.000
La 0.500 0.500 0.500
Nb 0.250 0.250 0.250
Nb 0.750 0.750 0.750
CELL_PARAMETERS angstrom
0.896 -1.734 4.406
-2.780 -3.486 1.828
1.756 -4.457 0.524
```

Values from the calculation:
Theoretical density in g/cm³: 8.8
Energy relative to the elements in meV per atom: 406.4
Uncorrected energy in eV/atom: -8.5681
SG: Fm-3m (225)



Entry 2:
First-principles (GGA-PBE) data for a relaxed structure of La3NbMo, as listed in Alexandria. Values from VASP.

Quantum ESPRESSO input file:
```
&SYSTEM
  ibrav = 0, nat = 5, ntyp = 3
/
ATOMIC_SPECIES
La 138.91 La.upf
Nb 92.91 Nb.upf
Mo 95.94 Mo.upf
ATOMIC_POSITIONS crystal
La 0.000 0.500 0.000
La 0.000 0.000 0.500
Nb 0.500 0.500 0.500
La 0.500 0.000 0.000
Mo 0.000 0.000 0.000
CELL_PARAMETERS angstrom
5.408 0.000 0.000
0.000 5.408 0.000
0.000 0.000 5.408
```

Values from the calculation:
Theoretical density in g/cm³: 6.4
Energy relative to the elements in meV per atom: 917.9
Uncorrected energy in eV/atom: -6.2187
SG: Pm-3m (221)



Entry 3:
First-principles (GGA-PBE) data for a relaxed structure of LaNbMoOs2, as listed in Alexandria. Values from VASP.

Quantum ESPRESSO input file:
```
&SYSTEM
  ibrav = 0, nat = 5, ntyp = 4
/
ATOMIC_SPECIES
Nb 92.91 Nb.upf
Os 190.23 Os.upf
La 138.91 La.upf
Mo 95.94 Mo.upf
ATOMIC_POSITIONS crystal
Nb 0.250 0.750 0.500
Os 0.624 0.624 0.248
La 0.000 0.000 0.000
Mo 0.750 0.250 0.500
Os 0.376 0.376 0.752
CELL_PARAMETERS angstrom
4.427 0.000 0.000
0.000 4.427 0.000
-2.214 -2.214 5.296
```

Values from the calculation:
Theoretical density in g/cm³: 11.3
Energy relative to the elements in meV per atom: -136.0
Uncorrected energy in eV/atom: -9.7935
SG: I-4m2 (119)



Entry 4:
First-principles (GGA-PBE) data for a relaxed structure of LaNb2MoPd, as listed in Alexandria. Values from VASP.

Quantum ESPRESSO input file:
```
&SYSTEM
  ibrav = 0, nat = 5, ntyp = 4
/
ATOMIC_SPECIES
Nb 92.91 Nb.upf
Mo 95.94 Mo.upf
Pd 106.42 Pd.upf
La 138.91 La.upf
ATOMIC_POSITIONS crystal
Nb 0.500 0.000 0.000
Mo 0.000 0.500 0.000
Nb 0.000 0.000 0.500
Pd 0.000 0.000 0.000
La 0.500 0.500 0.500
CELL_PARAMETERS angstrom
-1.159 3.636 -3.186
-0.382 -3.293 -3.620
-4.819 -0.606 1.061
```

Values from the calculation:
Theoretical density in g/cm³: 7.2
Energy relative to the elements in meV per atom: 1082.1
Uncorrected energy in eV/atom: -7.1361
SG: P4/mmm (123)



Entry 5:
First-principles (GGA-PBE) data for a relaxed structure of Rb2LaNbMo, as listed in Alexandria. Values from VASP.

Quantum ESPRESSO input file:
```
&SYSTEM
  ibrav = 0, nat = 5, ntyp = 4
/
ATOMIC_SPECIES
Rb 85.47 Rb.upf
Nb 92.91 Nb.upf
Mo 95.94 Mo.upf
La 138.91 La.upf
ATOMIC_POSITIONS crystal
Rb 0.500 0.000 0.000
Nb 0.000 0.500 0.000
Mo 0.500 0.500 0.500
Rb 0.000 0.000 0.500
La 0.000 0.000 0.000
CELL_PARAMETERS angstrom
6.576 0.000 0.000
0.000 5.048 0.000
0.000 0.000 6.576
```

Values from the calculation:
Theoretical density in g/cm³: 3.8
Energy relative to the elements in meV per atom: 2401.0
Uncorrected energy in eV/atom: -3.1517
SG: P4/mmm (123)



Entry 6:
First-principles (GGA-PBE) data for a relaxed structure of LaNb2MoRu, as listed in Alexandria. Values from VASP.

Quantum ESPRESSO input file:
```
&SYSTEM
  ibrav = 0, nat = 5, ntyp = 4
/
ATOMIC_SPECIES
Nb 92.91 Nb.upf
La 138.91 La.upf
Ru 101.07 Ru.upf
Mo 95.94 Mo.upf
ATOMIC_POSITIONS crystal
Nb 0.000 0.000 0.500
Nb 0.500 0.000 0.000
La 0.500 0.500 0.500
Ru 0.000 0.000 0.000
Mo 0.000 0.500 0.000
CELL_PARAMETERS angstrom
-2.748 -4.041 -0.283
0.901 -0.941 4.692
-3.949 2.595 1.279
```

Values from the calculation:
Theoretical density in g/cm³: 7.4
Energy relative to the elements in meV per atom: 765.2
Uncorrected energy in eV/atom: -8.2696
SG: P4/mmm (123)



Entry 7:
First-principles (GGA-PBE) data for a relaxed structure of LaNb2ZnMo, as listed in Alexandria. Values from VASP.

Quantum ESPRESSO input file:
```
&SYSTEM
  ibrav = 0, nat = 5, ntyp = 4
/
ATOMIC_SPECIES
La 138.91 La.upf
Nb 92.91 Nb.upf
Mo 95.94 Mo.upf
Zn 65.41 Zn.upf
ATOMIC_POSITIONS crystal
La 0.500 0.500 0.500
Nb 0.000 0.000 0.500
Mo 0.000 0.500 0.000
Nb 0.500 0.000 0.000
Zn 0.000 0.000 0.000
CELL_PARAMETERS angstrom
-3.014 3.842 -0.317
-1.043 -0.436 4.640
3.704 2.998 1.114
```

Values from the calculation:
Theoretical density in g/cm³: 7.1
Energy relative to the elements in meV per atom: 1112.6
Uncorrected energy in eV/atom: -6.3219
SG: P4/mmm (123)



- What is the theoretical density in the third record?
  11.3 g/cm³



- Among the records above, which one has the lowest uncorrected energy?
  LaNbMoOs2



- Number 6 is which compound?
  LaNb2MoRu



Copy entry 7 word for word.
First-principles (GGA-PBE) data for a relaxed structure of LaNb2ZnMo, as listed in Alexandria. Values from VASP.

Quantum ESPRESSO input file:
```
&SYSTEM
  ibrav = 0, nat = 5, ntyp = 4
/
ATOMIC_SPECIES
La 138.91 La.upf
Nb 92.91 Nb.upf
Mo 95.94 Mo.upf
Zn 65.41 Zn.upf
ATOMIC_POSITIONS crystal
La 0.500 0.500 0.500
Nb 0.000 0.000 0.500
Mo 0.000 0.500 0.000
Nb 0.500 0.000 0.000
Zn 0.000 0.000 0.000
CELL_PARAMETERS angstrom
-3.014 3.842 -0.317
-1.043 -0.436 4.640
3.704 2.998 1.114
```

Values from the calculation:
Theoretical density in g/cm³: 7.1
Energy relative to the elements in meV per atom: 1112.6
Uncorrected energy in eV/atom: -6.3219
SG: P4/mmm (123)